A geometry-optimized Y3NiI structure, computed with PBE.

Geometry as POSCAR:
```
Y3NiI
1.0
-5.034 -1.440 0.998
1.020 -4.878 -1.893
1.425 -1.597 4.882
Y Ni I
3 1 1
direct
0.000 0.500 0.000
0.000 0.000 0.500
0.500 0.000 0.000
0.000 0.000 0.000
0.500 0.500 0.500
```

Energy above the most stable polymorph in this dataset = 0.0000 eV/atom
Formation energy from raw total energies = -0.231 eV/atom
Total magnetization = 0.0 μB per cell
Crystal system = cubic
Raw total energy = -27.88 eV for the cell shown

---

A geometry-optimized Y2NiI structure, computed with PBE.

Geometry as POSCAR:
```
Y2NiI
1.0
0.000 3.653 3.653
3.653 0.000 3.653
3.653 3.653 0.000
Y Ni I
2 1 1
direct
0.250 0.250 0.250
0.750 0.750 0.750
0.000 0.000 0.000
0.500 0.500 0.500
```

Energy above the most stable polymorph in this dataset = 0.5012 eV/atom
Formation energy from raw total energies = -0.144 eV/atom
Total magnetization = 1.2 μB per cell
Crystal system = cubic
Raw total energy = -20.84 eV for the cell shown

---

A geometry-optimized Y2NiI structure, computed with PBE.

Geometry as POSCAR:
```
Y2NiI
1.0
-3.371 0.645 -0.995
-2.518 -2.487 0.498
-3.939 3.228 9.020
Ni Y I
1 2 1
direct
0.000 0.000 0.000
0.083 0.083 0.750
0.917 0.917 0.250
0.500 0.500 0.500
```

Energy above the most stable polymorph in this dataset = 0.8582 eV/atom
Formation energy from raw total energies = 0.213 eV/atom
Total magnetization = 0.0 μB per cell
Crystal system = trigonal
Raw total energy = -19.41 eV for the cell shown

---

A geometry-optimized Y2NiI structure, computed with PBE.

Geometry as POSCAR:
```
Y2NiI
1.0
4.034 0.000 0.000
2.017 3.494 0.000
2.017 1.165 7.853
I Y Ni
1 2 1
direct
0.499 0.499 0.502
0.060 0.060 0.820
0.274 0.274 0.178
0.667 0.667 0.999
```

Energy above the most stable polymorph in this dataset = 0.0000 eV/atom
Formation energy from raw total energies = -0.645 eV/atom
Total magnetization = 0.0 μB per cell
Crystal system = trigonal
Raw total energy = -22.84 eV for the cell shown

---

A geometry-optimized Y7NiI12 structure, computed with PBE.

Geometry as POSCAR:
```
Y7NiI12
1.0
-8.104 5.114 1.661
0.044 -7.484 6.210
7.551 5.698 2.255
I Y Ni
12 7 1
direct
0.610 0.531 0.843
0.075 0.679 0.224
0.843 0.610 0.531
0.224 0.075 0.679
0.531 0.843 0.610
0.679 0.224 0.075
0.321 0.776 0.925
0.925 0.321 0.776
0.469 0.157 0.390
0.157 0.390 0.469
0.776 0.925 0.321
0.390 0.469 0.157
0.900 0.970 0.703
0.970 0.703 0.900
0.500 0.500 0.500
0.030 0.297 0.100
0.297 0.100 0.030
0.703 0.900 0.970
0.100 0.030 0.297
0.000 0.000 0.000
```

Formation energy from raw total energies = -1.211 eV/atom
Total magnetization = 0.8 μB per cell
Crystal system = trigonal
Raw total energy = -93.85 eV for the cell shown

---

A geometry-optimized YNiI2 structure, computed with PBE.

Geometry as POSCAR:
```
YNiI2
1.0
-4.753 0.383 -4.603
4.088 -2.727 -4.447
-2.184 -6.361 -3.045
Ni I Y
2 4 2
direct
0.500 0.500 0.000
0.250 0.750 0.500
0.187 0.625 0.250
0.375 0.437 0.750
0.875 0.813 0.750
0.563 0.125 0.250
0.750 0.250 0.500
0.000 0.000 0.000
```

Energy above the most stable polymorph in this dataset = 0.0000 eV/atom
Formation energy from raw total energies = -0.182 eV/atom
Total magnetization = 1.6 μB per cell
Crystal system = tetragonal
Raw total energy = -32.15 eV for the cell shown

---

A geometry-optimized YNi3I structure, computed with PBE.

Geometry as POSCAR:
```
YNi3I
1.0
-0.767 -4.229 -1.806
3.947 0.335 -2.460
2.361 -1.934 3.525
Ni I Y
3 1 1
direct
0.500 0.000 0.000
0.000 0.000 0.500
0.000 0.500 0.000
0.000 0.000 0.000
0.500 0.500 0.500
```

Energy above the most stable polymorph in this dataset = 0.0000 eV/atom
Formation energy from raw total energies = 0.554 eV/atom
Total magnetization = 0.0 μB per cell
Crystal system = cubic
Raw total energy = -22.59 eV for the cell shown

---

A geometry-optimized Y2Ni2I structure, computed with PBE.

Geometry as POSCAR:
```
Y2Ni2I
1.0
7.581 0.000 0.000
0.000 7.581 0.000
0.000 0.000 3.709
Y Ni I
4 4 2
direct
0.336 0.164 0.500
0.664 0.836 0.500
0.164 0.664 0.500
0.836 0.336 0.500
0.382 0.882 0.000
0.118 0.382 0.000
0.882 0.618 0.000
0.618 0.118 0.000
0.000 0.000 0.000
0.500 0.500 0.000
```

Formation energy from raw total energies = -0.402 eV/atom
Total magnetization = 0.0 μB per cell
Crystal system = tetragonal
Raw total energy = -56.11 eV for the cell shown

---

A geometry-optimized YNi3I structure, computed with PBE.

Geometry as POSCAR:
```
YNi3I
1.0
4.853 0.000 0.000
0.000 4.853 0.000
0.000 0.000 4.853
Ni I Y
3 1 1
direct
0.000 0.000 0.500
0.000 0.500 0.000
0.500 0.000 0.000
0.500 0.500 0.500
0.000 0.000 0.000
```

Energy above the most stable polymorph in this dataset = 0.6663 eV/atom
Formation energy from raw total energies = 1.220 eV/atom
Total magnetization = 0.0 μB per cell
Crystal system = cubic
Raw total energy = -19.26 eV for the cell shown

---

A geometry-optimized Zn2NiI structure, computed with PBE.

Geometry as POSCAR:
```
Zn2NiI
1.0
-1.864 -4.132 0.728
4.181 -1.895 -0.051
1.792 -1.836 8.638
Ni I Zn
2 2 4
direct
0.250 0.750 0.500
0.500 0.500 0.000
0.000 0.000 0.000
0.750 0.250 0.500
0.375 0.526 0.750
0.474 0.125 0.250
0.276 0.625 0.250
0.875 0.724 0.750
```

Energy above the most stable polymorph in this dataset = 0.0000 eV/atom
Formation energy from raw total energies = 0.253 eV/atom
Total magnetization = 0.0 μB per cell
Crystal system = tetragonal
Raw total energy = -17.74 eV for the cell shown

---

A geometry-optimized Zn2NiI2 structure, computed with PBE.

Geometry as POSCAR:
```
Zn2NiI2
1.0
7.395 0.000 0.000
0.000 7.395 0.000
0.000 0.000 4.343
I Zn Ni
4 4 2
direct
0.782 0.282 0.500
0.282 0.218 0.500
0.718 0.782 0.500
0.218 0.718 0.500
0.383 0.883 0.000
0.617 0.117 0.000
0.117 0.383 0.000
0.883 0.617 0.000
0.500 0.500 0.000
0.000 0.000 0.000
```

Energy above the most stable polymorph in this dataset = 0.0542 eV/atom
Formation energy from raw total energies = 0.459 eV/atom
Total magnetization = 0.2 μB per cell
Crystal system = tetragonal
Raw total energy = -18.27 eV for the cell shown

---

A geometry-optimized ZnNi3I structure, computed with PBE.

Geometry as POSCAR:
```
ZnNi3I
1.0
-2.736 -2.782 2.502
2.406 -3.682 -1.463
2.866 0.435 3.618
I Ni Zn
1 3 1
direct
0.000 0.000 0.000
0.000 0.000 0.500
0.000 0.500 0.000
0.500 0.000 0.000
0.500 0.500 0.500
```

Energy above the most stable polymorph in this dataset = 0.1908 eV/atom
Formation energy from raw total energies = 1.023 eV/atom
Total magnetization = 0.0 μB per cell
Crystal system = cubic
Raw total energy = -15.05 eV for the cell shown